! Ba2Cd2O5 PBE-GGA relaxed; values from VASP
! excess energy over the best structure of this formula in the dataset: 0 meV per atom
! crystal system: tetragonal
! SG: P4/mmm, No. 123
&SYSTEM
  ibrav = 0, nat = 9, ntyp = 3
/
ATOMIC_SPECIES
Ba 137.33 Ba.upf
Cd 112.41 Cd.upf
O 16.00 O.upf
CELL_PARAMETERS angstrom
4.263 0.000 0.000
0.000 4.263 0.000
0.000 0.000 8.375
ATOMIC_POSITIONS crystal
Ba 0.000 0.000 0.000
Ba 0.000 0.000 0.500
Cd 0.500 0.500 0.242
Cd 0.500 0.500 0.758
O 0.000 0.500 0.213
O 0.000 0.500 0.787
O 0.500 0.000 0.213
O 0.500 0.000 0.787
O 0.500 0.500 0.500


! Cs2GdHoSe4 PBE-GGA relaxed; values from VASP
! crystal system: trigonal
! uncorrected energy: -4.839 eV per atom
! spin magnetization: 0.000 μB per atom
! SG: P-3m1, No. 164
&SYSTEM
  ibrav = 0, nat = 8, ntyp = 4
/
ATOMIC_SPECIES
Cs 132.91 Cs.upf
Gd 157.25 Gd.upf
Ho 164.93 Ho.upf
Se 78.96 Se.upf
CELL_PARAMETERS angstrom
4.266 0.000 0.000
-2.133 3.694 0.000
0.000 0.000 16.693
ATOMIC_POSITIONS crystal
Cs 0.333 0.667 0.249
Cs 0.667 0.333 0.751
Gd 0.000 0.000 0.500
Ho 0.000 0.000 0.000
Se 0.333 0.667 0.594
Se 0.333 0.667 0.908
Se 0.667 0.333 0.092
Se 0.667 0.333 0.406


! KTaAuS3 PBE-GGA relaxed; values from VASP
! crystal system: orthorhombic
! uncorrected energy: -5.435 eV per atom
! spin magnetization: 0.002 μB per atom
! SG: Cmcm, No. 63
&SYSTEM
  ibrav = 0, nat = 12, ntyp = 4
/
ATOMIC_SPECIES
K 39.10 K.upf
Ta 180.95 Ta.upf
Au 196.97 Au.upf
S 32.06 S.upf
CELL_PARAMETERS angstrom
1.785 -7.548 0.000
1.785 7.548 0.000
0.000 0.000 9.781
ATOMIC_POSITIONS crystal
K 0.244 0.756 0.750
K 0.756 0.244 0.250
Ta 0.500 0.500 0.000
Ta 0.500 0.500 0.500
Au 0.063 0.937 0.250
Au 0.937 0.063 0.750
S 0.118 0.882 0.024
S 0.118 0.882 0.476
S 0.433 0.567 0.250
S 0.567 0.433 0.750
S 0.882 0.118 0.524
S 0.882 0.118 0.976


! ScCo3C PBE-GGA relaxed; values from VASP
! crystal system: cubic
! uncorrected energy: -7.669 eV per atom
! spin magnetization: 0.000 μB per atom
! SG: Pm-3m, No. 221
&SYSTEM
  ibrav = 0, nat = 5, ntyp = 3
/
ATOMIC_SPECIES
Sc 44.96 Sc.upf
Co 58.93 Co.upf
C 12.01 C.upf
CELL_PARAMETERS angstrom
3.808 0.000 0.000
0.000 3.808 0.000
0.000 0.000 3.808
ATOMIC_POSITIONS crystal
Sc 0.000 0.000 0.000
Co 0.000 0.500 0.500
Co 0.500 0.000 0.500
Co 0.500 0.500 0.000
C 0.500 0.500 0.500


! PrNdBrN PBE-GGA relaxed; values from VASP
! crystal system: trigonal
! uncorrected energy: -6.291 eV per atom
! spin magnetization: 0.000 μB per atom
! SG: P-3m1, No. 164
&SYSTEM
  ibrav = 0, nat = 8, ntyp = 4
/
ATOMIC_SPECIES
Pr 140.91 Pr.upf
Nd 144.24 Nd.upf
Br 79.90 Br.upf
N 14.01 N.upf
CELL_PARAMETERS angstrom
3.731 0.000 0.000
-1.866 3.231 0.000
0.000 0.000 14.683
ATOMIC_POSITIONS crystal
Pr 0.333 0.667 0.092
Pr 0.667 0.333 0.908
Nd 0.333 0.667 0.410
Nd 0.667 0.333 0.590
Br 0.333 0.667 0.747
Br 0.667 0.333 0.253
N 0.000 0.000 0.000
N 0.000 0.000 0.500


! CsLaAg PBE-GGA relaxed; values from VASP
! excess energy over the best structure of this formula in the dataset: 0 meV per atom
! crystal system: cubic
! spin magnetization: 0.010 μB per atom
! SG: F-43m, No. 216
&SYSTEM
  ibrav = 0, nat = 3, ntyp = 3
/
ATOMIC_SPECIES
Cs 132.91 Cs.upf
La 138.91 La.upf
Ag 107.87 Ag.upf
CELL_PARAMETERS angstrom
0.000 3.759 3.759
3.759 0.000 3.759
3.759 3.759 0.000
ATOMIC_POSITIONS crystal
Cs 0.000 0.000 0.000
La 0.750 0.750 0.750
Ag 0.500 0.500 0.500


! SrHfSc PBE-GGA relaxed; values from VASP
! excess energy over the best structure of this formula in the dataset: 0 meV per atom
! crystal system: cubic
! spin magnetization: 1.103 μB per atom
! SG: F-43m, No. 216
&SYSTEM
  ibrav = 0, nat = 3, ntyp = 3
/
ATOMIC_SPECIES
Sr 87.62 Sr.upf
Hf 178.49 Hf.upf
Sc 44.96 Sc.upf
CELL_PARAMETERS angstrom
0.000 3.707 3.707
3.707 0.000 3.707
3.707 3.707 0.000
ATOMIC_POSITIONS crystal
Sr 0.000 0.000 0.000
Hf 0.500 0.500 0.500
Sc 0.750 0.750 0.750


! ZnCoAsPt PBE-GGA relaxed; values from VASP
! excess energy over the best structure of this formula in the dataset: 0 meV per atom
! crystal system: cubic
! spin magnetization: 0.330 μB per atom
! SG: F-43m, No. 216
&SYSTEM
  ibrav = 0, nat = 4, ntyp = 4
/
ATOMIC_SPECIES
Zn 65.41 Zn.upf
Co 58.93 Co.upf
As 74.92 As.upf
Pt 195.08 Pt.upf
CELL_PARAMETERS angstrom
0.000 3.054 3.054
3.054 0.000 3.054
3.054 3.054 0.000
ATOMIC_POSITIONS crystal
Zn 0.000 0.000 0.000
Co 0.750 0.750 0.750
As 0.500 0.500 0.500
Pt 0.250 0.250 0.250